MnCoHgF6: optimized geometry, PBE with a Hubbard U.

Values from the calculation:
Magnetic moment, μB/cell: 15.876
Crystal system: trigonal
Calculated total energy, eV per atom: -4.718
Symmetry: P-31c

Unit cell a=5.6160 b=5.6160 c=9.1432 alpha=90.00 beta=90.00 gamma=120.00
Closest atoms and distances in Å follow each position.
Atoms (fractional coordinates):
F 0.9626 0.3071 0.8738  1 Co 2.08, 1 Mn 2.17
F 0.6929 0.6555 0.8738  1 Co 2.08, 1 Mn 2.17
F 0.9626 0.6555 0.6262  1 Co 2.08, 1 Mn 2.17
F 0.6555 0.9626 0.1262  1 Co 2.08, 1 Mn 2.17
F 0.3445 0.0374 0.8738  1 Co 2.08, 1 Mn 2.17
F 0.3445 0.3071 0.6262  1 Co 2.08, 1 Mn 2.17
F 0.0374 0.6929 0.1262  1 Co 2.08, 1 Mn 2.17
F 0.6555 0.6929 0.3738  1 Co 2.08, 1 Mn 2.17
F 0.3071 0.9626 0.3738  1 Co 2.08, 1 Mn 2.17
F 0.3071 0.3445 0.1262  1 Co 2.08, 1 Mn 2.17
F 0.6929 0.0374 0.6262  1 Co 2.08, 1 Mn 2.17
F 0.0374 0.3445 0.3738  1 Co 2.08, 1 Mn 2.17
Mn 0.0000 0.0000 0.5000  6 F 2.17
Mn 0.0000 0.0000 0.0000  6 F 2.17
Co 0.6667 0.3333 0.7500  6 F 2.08
Co 0.3333 0.6667 0.2500  6 F 2.08
Hg 0.3333 0.6667 0.7500  6 F 2.34
Hg 0.6667 0.3333 0.2500  6 F 2.34